1.
This record from Alexandria via LeMat-Bulk describes a relaxed structure of BeBi3Pb. The functional is GGA-PBE.

```
BeBi3Pb
1.0
5.2365 0.0000 0.0000
0.0000 5.2365 0.0000
0.0000 0.0000 5.2365
Be Bi Pb
1 3 1
direct
0.0000 0.0000 0.0000
0.0000 0.0000 0.5000
0.0000 0.5000 0.0000
0.5000 0.0000 0.0000
0.5000 0.5000 0.5000
```

Computed properties:
- magnetization (μB per cell) = 0.00
- ΔE to the lowest computed polymorph (eV per atom) = 0.0000
- energy (eV/atom) = -3.447
- density of states at the Fermi level (states/eV per atom) = 0.690
- ΔH_f (0 K) (kJ/mol of formula units) = 178
- SG = Pm-3m (221)


2.
This record from Alexandria via LeMat-Bulk describes a relaxed structure of Be2BiPb. The functional is GGA-PBE.

```
Be2BiPb
1.0
-3.1230 3.1230 5.0472
3.1230 -3.1230 5.0472
3.1230 3.1230 -5.0472
Be Bi Pb
4 2 2
direct
0.1114 0.6250 0.9864
0.3750 0.3614 0.4864
0.6386 0.1250 0.0136
0.8750 0.8886 0.5136
0.0000 0.0000 0.0000
0.7500 0.2500 0.5000
0.2500 0.7500 0.5000
0.5000 0.5000 0.0000
```

Computed properties:
- magnetization (μB per cell) = 0.00
- ΔE to the lowest computed polymorph (eV per atom) = 0.0000
- energy (eV/atom) = -3.079
- density of states at the Fermi level (states/eV per atom) = 0.697
- ΔH_f (0 K) (kJ/mol of formula units) = 263
- SG = I-42d (122)


3.
This record from Alexandria via LeMat-Bulk describes a relaxed structure of Be2BiPbS. The functional is GGA-PBE.

```
Be2BiPbS
1.0
4.5896 0.0000 0.0000
0.0000 4.5896 0.0000
0.0000 0.0000 6.7182
Be Bi Pb S
2 1 1 1
direct
0.0000 0.5000 0.0000
0.5000 0.0000 0.0000
0.0000 0.0000 0.0000
0.0000 0.0000 0.5000
0.5000 0.5000 0.5000
```

Computed properties:
- magnetization (μB per cell) = 0.00
- raw formation energy (eV per formula unit) = 4.757
- energy (eV/atom) = -2.882
- density of states at the Fermi level (states/eV per atom) = 0.599
- SG = P4/mmm (123)


4.
This record from Alexandria via LeMat-Bulk describes a relaxed structure of BeSi2BiPb. The functional is GGA-PBE.

```
BeSi2BiPb
1.0
5.4092 0.0000 0.0000
0.0000 5.4092 0.0000
0.0000 0.0000 4.5406
Be Si Bi Pb
1 2 1 1
direct
0.0000 0.0000 0.0000
0.0000 0.5000 0.5000
0.5000 0.0000 0.5000
0.5000 0.5000 0.0000
0.0000 0.0000 0.5000
```

Computed properties:
- magnetization (μB per cell) = 0.00
- raw formation energy (eV per formula unit) = 6.093
- energy (eV/atom) = -3.214
- density of states at the Fermi level (states/eV per atom) = 0.608
- SG = P4/mmm (123)


5.
This record from Alexandria via LeMat-Bulk describes a relaxed structure of TaBeBiPb2. The functional is GGA-PBE.

```
TaBeBiPb2
1.0
6.0214 0.0000 0.0000
0.0000 6.0214 0.0000
0.0000 0.0000 5.3523
Ta Be Bi Pb
1 1 1 2
direct
0.0000 0.0000 0.0000
0.5000 0.5000 0.0000
0.0000 0.0000 0.5000
0.0000 0.5000 0.5000
0.5000 0.0000 0.5000
```

Computed properties:
- magnetization (μB per cell) = 2.06
- energy (eV/atom) = -3.502
- density of states at the Fermi level (states/eV per atom) = 0.912
- ΔH_f (0 K) (kJ/mol of formula units) = 904
- SG = P4/mmm (123)


6.
This record from Alexandria via LeMat-Bulk describes a relaxed structure of BeTcBi2Pb. The functional is GGA-PBE.

```
BeTcBi2Pb
1.0
5.2778 0.0000 0.0000
0.0000 5.2778 0.0000
0.0000 0.0000 4.3850
Be Tc Bi Pb
1 1 2 1
direct
0.0000 0.0000 0.0000
0.0000 0.0000 0.5000
0.0000 0.5000 0.0000
0.5000 0.0000 0.0000
0.5000 0.5000 0.5000
```

Computed properties:
- magnetization (μB per cell) = 1.60
- energy (eV/atom) = -4.380
- density of states at the Fermi level (states/eV per atom) = 1.145
- ΔH_f (0 K) (kJ/mol of formula units) = 354
- SG = P4/mmm (123)


7.
This record from Alexandria via LeMat-Bulk describes a relaxed structure of TiBeBiPb2. The functional is GGA-PBE.

```
TiBeBiPb2
1.0
5.4630 0.0000 0.0000
0.0000 5.4630 0.0000
0.0000 0.0000 4.7501
Ti Be Bi Pb
1 1 1 2
direct
0.0000 0.0000 0.0000
0.0000 0.0000 0.5000
0.5000 0.5000 0.5000
0.0000 0.5000 0.0000
0.5000 0.0000 0.0000
```

Computed properties:
- magnetization (μB per cell) = 0.00
- energy (eV/atom) = -3.862
- density of states at the Fermi level (states/eV per atom) = 0.985
- ΔH_f (0 K) (kJ/mol of formula units) = 348
- SG = P4/mmm (123)


8.
This record from Alexandria via LeMat-Bulk describes a relaxed structure of BeBi2PbW. The functional is GGA-PBE.

```
BeBi2PbW
1.0
5.1277 0.0000 0.0000
0.0000 5.1277 0.0000
0.0000 0.0000 4.8705
Be Bi Pb W
1 2 1 1
direct
0.0000 0.0000 0.0000
0.0000 0.5000 0.0000
0.5000 0.0000 0.0000
0.0000 0.0000 0.5000
0.5000 0.5000 0.5000
```

Computed properties:
- magnetization (μB per cell) = 3.52
- energy (eV/atom) = -4.314
- density of states at the Fermi level (states/eV per atom) = 0.691
- ΔH_f (0 K) (kJ/mol of formula units) = 635
- SG = P4/mmm (123)


9.
This record from Alexandria via LeMat-Bulk describes a relaxed structure of BeBiPd. The functional is GGA-PBE.

```
BeBiPd
1.0
10.5255 0.0000 0.0000
0.0000 2.2534 2.2882
0.0000 -2.2534 2.2882
Be Bi Pd
2 2 2
direct
0.1006 0.0000 0.0000
0.8994 0.0000 0.0000
0.3092 0.3619 0.3619
0.6908 0.3619 0.3619
0.0000 0.5146 0.5146
0.5000 0.8589 0.8589
```

Computed properties:
- magnetization (μB per cell) = 0.00
- energy (eV/atom) = -4.253
- density of states at the Fermi level (states/eV per atom) = 0.501
- ΔH_f (0 K) (kJ/mol of formula units) = 4
- SG = Amm2 (38)


10.
This record from Alexandria via LeMat-Bulk describes a relaxed structure of BeBi2Pd2. The functional is GGA-PBE.

```
BeBi2Pd2
1.0
7.2765 0.0000 0.0000
0.0000 7.2765 0.0000
0.0000 0.0000 4.0484
Be Bi Pd
2 4 4
direct
0.0000 0.0000 0.0000
0.5000 0.5000 0.0000
0.1674 0.3326 0.0000
0.3326 0.8326 0.0000
0.6674 0.1674 0.0000
0.8326 0.6674 0.0000
0.1358 0.6358 0.5000
0.3642 0.1358 0.5000
0.6358 0.8642 0.5000
0.8642 0.3642 0.5000
```

Computed properties:
- magnetization (μB per cell) = 0.00
- ΔE to the lowest computed polymorph (eV per atom) = 0.3009
- energy (eV/atom) = -4.137
- density of states at the Fermi level (states/eV per atom) = 0.574
- ΔH_f (0 K) (kJ/mol of formula units) = 115
- SG = P4/mbm (127)


11.
This record from Alexandria via LeMat-Bulk describes a relaxed structure of BeBi2Pd. The functional is GGA-PBE.

```
BeBi2Pd
1.0
-3.0579 3.0579 5.7932
3.0579 -3.0579 5.7932
3.0579 3.0579 -5.7932
Be Bi Pd
2 4 2
direct
0.0000 0.0000 0.0000
0.7500 0.2500 0.5000
0.0965 0.6250 0.9715
0.3750 0.3465 0.4715
0.6535 0.1250 0.0285
0.8750 0.9035 0.5285
0.2500 0.7500 0.5000
0.5000 0.5000 0.0000
```

Computed properties:
- magnetization (μB per cell) = 0.00
- energy (eV/atom) = -3.832
- density of states at the Fermi level (states/eV per atom) = 0.704
- ΔH_f (0 K) (kJ/mol of formula units) = 130
- SG = I-42d (122)


12.
This record from Alexandria via LeMat-Bulk describes a relaxed structure of BeBi2Pd2. The functional is GGA-PBE.

```
BeBi2Pd2
1.0
-1.8930 1.8930 7.6427
1.8930 -1.8930 7.6427
1.8930 1.8930 -7.6427
Be Bi Pd
1 2 2
direct
0.0000 0.0000 0.0000
0.3921 0.3921 0.0000
0.6079 0.6079 0.0000
0.2500 0.7500 0.5000
0.7500 0.2500 0.5000
```

Computed properties:
- magnetization (μB per cell) = 0.00
- ΔE to the lowest computed polymorph (eV per atom) = 0.3666
- energy (eV/atom) = -4.071
- density of states at the Fermi level (states/eV per atom) = 0.505
- ΔH_f (0 K) (kJ/mol of formula units) = 147
- SG = I4/mmm (139)